No. 1
{"formula": "Ac2PaP3Pt12", "functional": "GGA-PBE", "state": "optimized geometry", "formation_enthalpy_0k_mev_per_atom": -540, "lattice": [[4.1291, 2.3839, 6.5278], [-4.1291, 2.3839, 6.5278], [0.0000, -4.7678, 6.5278]], "species": ["Ac", "Ac", "Pa", "P", "P", "P", "Pt", "Pt", "Pt", "Pt", "Pt", "Pt", "Pt", "Pt", "Pt", "Pt", "Pt", "Pt"], "frac_coords": [[0.1042, 0.1042, 0.1042], [0.8958, 0.8958, 0.8958], [0.5000, 0.5000, 0.5000], [0.0000, 0.5000, 0.5000], [0.5000, 0.0000, 0.5000], [0.5000, 0.5000, 0.0000], [0.1044, 0.6290, 0.6290], [0.1637, 0.1637, 0.5998], [0.1637, 0.5998, 0.1637], [0.3710, 0.3710, 0.8956], [0.3710, 0.8956, 0.3710], [0.4002, 0.8363, 0.8363], [0.5998, 0.1637, 0.1637], [0.6290, 0.1044, 0.6290], [0.6290, 0.6290, 0.1044], [0.8363, 0.4002, 0.8363], [0.8363, 0.8363, 0.4002], [0.8956, 0.3710, 0.3710]]}

***

No. 2
{"formula": "Co", "functional": "GGA-PBE", "state": "optimized geometry", "relative_energy_ev_per_fu": 0.10, "formation_enthalpy_0k_mev_per_atom": 97, "lattice": [[4.4636, 0.0000, 0.0000], [0.0000, 4.4636, 0.0000], [0.0000, 0.0000, 4.4636]], "species": ["Co", "Co", "Co", "Co", "Co", "Co", "Co", "Co"], "frac_coords": [[0.0000, 0.0000, 0.0000], [0.0000, 0.2500, 0.5000], [0.0000, 0.7500, 0.5000], [0.2500, 0.5000, 0.0000], [0.5000, 0.0000, 0.2500], [0.5000, 0.0000, 0.7500], [0.5000, 0.5000, 0.5000], [0.7500, 0.5000, 0.0000]]}

***

No. 3
{"formula": "NdTc2BC", "functional": "GGA-PBE", "state": "optimized geometry", "formation_enthalpy_0k_mev_per_atom": -270, "lattice": [[1.8763, -5.3514, 0.0000], [1.8763, 5.3514, 0.0000], [0.0000, 0.0000, 7.1849]], "species": ["Nd", "Nd", "Tc", "Tc", "Tc", "Tc", "B", "B", "C", "C"], "frac_coords": [[0.0402, 0.9598, 0.7500], [0.9598, 0.0402, 0.2500], [0.3209, 0.6791, 0.5628], [0.3209, 0.6791, 0.9372], [0.6791, 0.3209, 0.0628], [0.6791, 0.3209, 0.4372], [0.2319, 0.7681, 0.2500], [0.7681, 0.2319, 0.7500], [0.5000, 0.5000, 0.0000], [0.5000, 0.5000, 0.5000]]}

***

No. 4
{"formula": "VBN2", "functional": "GGA-PBE", "state": "optimized geometry", "formation_energy_uncorrected_ev_per_atom": -0.62, "lattice": [[1.4763, 0.8524, 5.0293], [-1.4763, 0.8524, 5.0293], [0.0000, -1.7047, 5.0293]], "species": ["V", "B", "N", "N"], "frac_coords": [[0.0000, 0.0000, 0.0000], [0.5000, 0.5000, 0.5000], [0.4111, 0.4111, 0.4111], [0.5889, 0.5889, 0.5889]]}

***

No. 5
{"formula": "GaFeGe2", "functional": "GGA-PBE", "state": "optimized geometry", "formation_enthalpy_0k_mev_per_atom": 488, "lattice": [[-2.8938, 2.8938, 5.1423], [2.8938, -2.8938, 5.1423], [2.8938, 2.8938, -5.1423]], "species": ["Ga", "Ga", "Fe", "Fe", "Ge", "Ge", "Ge", "Ge"], "frac_coords": [[0.0000, 0.0000, 0.0000], [0.7500, 0.2500, 0.5000], [0.2500, 0.7500, 0.5000], [0.5000, 0.5000, 0.0000], [0.1710, 0.6250, 0.0460], [0.3750, 0.4210, 0.5460], [0.5790, 0.1250, 0.9540], [0.8750, 0.8290, 0.4540]]}

***

No. 6
{"formula": "DyHoCdRh", "functional": "GGA-PBE", "state": "optimized geometry", "relative_energy_ev_per_fu": 0.00, "formation_enthalpy_0k_mev_per_atom": -625, "lattice": [[3.4992, 0.0000, 0.0000], [0.0000, 3.4992, 0.0000], [0.0000, 0.0000, 7.5378]], "species": ["Dy", "Ho", "Cd", "Rh"], "frac_coords": [[0.0000, 0.0000, 0.0000], [0.0000, 0.0000, 0.5658], [0.5000, 0.5000, 0.2845], [0.5000, 0.5000, 0.7811]]}

***

No. 7
{"formula": "HoTc2C", "functional": "GGA-PBE", "state": "optimized geometry", "relative_energy_ev_per_fu": 0.00, "formation_enthalpy_0k_mev_per_atom": 39, "lattice": [[1.5774, -5.0067, 0.0000], [1.5774, 5.0067, 0.0000], [0.0000, 0.0000, 7.3950]], "species": ["Ho", "Ho", "Tc", "Tc", "Tc", "Tc", "C", "C"], "frac_coords": [[0.0552, 0.9448, 0.7500], [0.9448, 0.0552, 0.2500], [0.3407, 0.6593, 0.5639], [0.3407, 0.6593, 0.9361], [0.6593, 0.3407, 0.0639], [0.6593, 0.3407, 0.4361], [0.2222, 0.7778, 0.2500], [0.7778, 0.2222, 0.7500]]}

***

No. 8
{"formula": "YTa4Tc", "functional": "GGA-PBE", "state": "optimized geometry", "formation_enthalpy_0k_mev_per_atom": 305, "lattice": [[0.0000, 3.9034, 3.9034], [3.9034, 0.0000, 3.9034], [3.9034, 3.9034, 0.0000]], "species": ["Y", "Ta", "Ta", "Ta", "Ta", "Tc"], "frac_coords": [[0.0000, 0.0000, 0.0000], [0.1242, 0.6253, 0.6253], [0.6253, 0.1242, 0.6253], [0.6253, 0.6253, 0.1242], [0.6253, 0.6253, 0.6253], [0.2500, 0.2500, 0.2500]]}

***

No. 9
{"formula": "U2FeSb", "functional": "GGA-PBE", "state": "optimized geometry", "formation_energy_uncorrected_ev_per_atom": 0.06, "lattice": [[1.9496, 1.1256, 7.0223], [-1.9496, 1.1256, 7.0223], [0.0000, -2.2512, 7.0223]], "species": ["U", "U", "Fe", "Sb"], "frac_coords": [[0.2316, 0.2316, 0.2316], [0.7684, 0.7684, 0.7684], [0.5000, 0.5000, 0.5000], [0.0000, 0.0000, 0.0000]]}

***

No. 10
{"formula": "PmGePdRh", "functional": "GGA-PBE", "state": "optimized geometry", "formation_enthalpy_0k_mev_per_atom": -584, "lattice": [[0.0000, 3.3282, 3.3282], [3.3282, 0.0000, 3.3282], [3.3282, 3.3282, 0.0000]], "species": ["Pm", "Ge", "Pd", "Rh"], "frac_coords": [[0.0000, 0.0000, 0.0000], [0.5000, 0.5000, 0.5000], [0.2500, 0.2500, 0.2500], [0.7500, 0.7500, 0.7500]]}

***

No. 11
{"formula": "GeAu2Se", "functional": "GGA-PBE", "state": "optimized geometry", "relative_energy_ev_per_fu": 0.69, "formation_energy_uncorrected_ev_per_atom": 0.23, "lattice": [[0.0000, 3.3875, 3.3875], [3.3875, 0.0000, 3.3875], [3.3875, 3.3875, 0.0000]], "species": ["Ge", "Au", "Au", "Se"], "frac_coords": [[0.0000, 0.0000, 0.0000], [0.2500, 0.2500, 0.2500], [0.7500, 0.7500, 0.7500], [0.5000, 0.5000, 0.5000]]}

***

No. 12
{"formula": "Ce3Dy3PuS8", "functional": "GGA-PBE", "state": "optimized geometry", "formation_energy_uncorrected_ev_per_atom": -2.00, "lattice": [[3.9480, 2.2794, 6.5413], [-3.9480, 2.2794, 6.5413], [0.0000, -4.5587, 6.5413]], "species": ["Ce", "Ce", "Ce", "Dy", "Dy", "Dy", "Pu", "S", "S", "S", "S", "S", "S", "S", "S"], "frac_coords": [[0.0000, 0.5000, 0.5000], [0.5000, 0.0000, 0.5000], [0.5000, 0.5000, 0.0000], [0.0000, 0.0000, 0.5000], [0.0000, 0.5000, 0.0000], [0.5000, 0.0000, 0.0000], [0.5000, 0.5000, 0.5000], [0.2427, 0.7498, 0.7498], [0.2461, 0.2461, 0.2461], [0.2502, 0.2502, 0.7573], [0.2502, 0.7573, 0.2502], [0.7498, 0.2427, 0.7498], [0.7498, 0.7498, 0.2427], [0.7539, 0.7539, 0.7539], [0.7573, 0.2502, 0.2502]]}

***

What total magnetic moment values result from the calculations? In sequence: 0.0 1.6 0.0 0.3 0.0 0.0 0.0 0.0 3.4 0.0 0.0 9.1 μB per formula unit.
What E values result from the calculations? In sequence: -6.45 -7.01 -8.55 -8.73 -4.69 -4.99 -8.59 -10.40 -8.73 -6.06 -3.44 -7.26 eV/atom.